Density functional theory data (PBE) for Ac2La4Er after structural relaxation.

Cell and atoms, written as POSCAR:
```
Ac2La4Er
1.0
0.490 -5.965 -4.598
-0.915 -3.530 7.587
-8.224 2.124 -3.662
Ac La Er
4 8 2
Direct
0.553 0.128 0.319
0.625 0.411 0.750
0.697 0.693 0.181
0.125 0.411 0.750
0.484 0.845 0.891
0.333 0.266 0.039
0.767 0.976 0.609
0.264 0.973 0.604
0.196 0.693 0.177
0.917 0.555 0.461
0.986 0.848 0.896
0.054 0.129 0.323
0.409 0.557 0.464
0.841 0.264 0.036
```

Results
DOS(E_F)	12.34	states/eV/f.u.
formation energy from the elements	0.03	eV per atom


Density functional theory data (PBE) for Ac6La3Er after structural relaxation.

Cell and atoms, written as POSCAR:
```
Ac6La3Er
1.0
-1.646 -4.278 -5.787
-7.164 -4.551 5.402
-1.392 6.905 0.000
Ac Er La
6 1 3
Direct
0.054 0.701 0.603
0.946 0.299 0.397
0.450 0.299 0.397
0.375 0.087 0.750
0.625 0.913 0.250
0.550 0.701 0.603
0.500 0.500 0.000
0.952 0.345 0.905
0.048 0.655 0.095
0.000 0.000 0.000
```

Results
DOS(E_F)	15.94	states/eV/f.u.
formation energy from the elements	0.18	eV per atom


Density functional theory data (PBE) for Ac3La4Er after structural relaxation.

Cell and atoms, written as POSCAR:
```
Ac3La4Er
1.0
-0.558 3.902 3.689
0.715 -2.040 6.216
8.962 4.551 0.494
Er La Ac
1 4 3
Direct
0.000 0.000 0.000
0.369 0.382 0.879
0.120 0.129 0.630
0.631 0.618 0.121
0.880 0.871 0.370
0.740 0.763 0.756
0.500 0.500 0.500
0.260 0.237 0.244
```

Results
DOS(E_F)	15.67	states/eV/f.u.
formation energy from the elements	0.03	eV per atom


Density functional theory data (PBE) for Ac5La6Er2 after structural relaxation.

Cell and atoms, written as POSCAR:
```
Ac5La6Er2
1.0
-1.288 2.272 2.808
3.350 -8.276 8.232
19.987 9.535 1.452
La Ac Er
12 10 4
Direct
0.000 0.776 0.944
0.500 0.581 0.847
0.500 0.919 0.347
0.500 0.081 0.653
0.000 0.166 0.381
0.000 0.834 0.619
0.000 0.666 0.119
0.000 0.724 0.444
0.000 0.224 0.056
0.500 0.419 0.153
0.000 0.334 0.881
0.000 0.276 0.556
0.500 0.000 0.500
0.500 0.500 0.000
0.500 0.064 0.923
0.500 0.564 0.577
0.500 0.147 0.222
0.500 0.647 0.278
0.500 0.353 0.722
0.500 0.436 0.423
0.500 0.936 0.077
0.500 0.853 0.778
0.000 0.614 0.716
0.000 0.386 0.284
0.000 0.886 0.216
0.000 0.114 0.784
```

Results
DOS(E_F)	20.13	states/eV/f.u.
formation energy from the elements	0.07	eV per atom


Density functional theory data (PBE) for AcLa4Er after structural relaxation.

Cell and atoms, written as POSCAR:
```
AcLa4Er
1.0
-0.495 2.785 -2.480
-5.853 -1.928 1.848
2.090 5.134 8.210
La Er Ac
4 1 1
Direct
0.321 0.991 0.161
0.155 0.495 0.325
0.839 0.507 0.679
0.674 0.012 0.842
0.497 0.501 0.002
0.997 0.001 0.502
```

Results
DOS(E_F)	10.07	states/eV/f.u.
formation energy from the elements	0.02	eV per atom
energy above the lowest structure with this stoichiometry	0	meV/atom


Density functional theory data (PBE) for AcLa2Er after structural relaxation.

Cell and atoms, written as POSCAR:
```
AcLa2Er
1.0
3.791 0.000 0.000
0.000 3.791 0.000
0.000 0.000 10.388
La Er Ac
2 1 1
Direct
0.000 0.000 0.766
0.000 0.000 0.234
0.500 0.500 0.000
0.500 0.500 0.500
```

Results
DOS(E_F)	7.61	states/eV/f.u.
formation energy from the elements	0.04	eV per atom
energy above the lowest structure with this stoichiometry	17	meV/atom


Density functional theory data (PBE) for Ac5La6Er after structural relaxation.

Cell and atoms, written as POSCAR:
```
Ac5La6Er
1.0
-3.342 1.768 -3.912
8.699 -2.232 -4.650
-3.925 -8.760 3.185
Ac La Er
5 6 1
Direct
0.500 0.162 0.838
0.500 0.838 0.162
0.000 0.667 0.333
0.000 0.333 0.667
0.500 0.500 0.500
0.753 0.918 0.589
0.247 0.411 0.082
0.254 0.754 0.754
0.746 0.246 0.246
0.753 0.589 0.918
0.247 0.082 0.411
0.000 0.000 0.000
```

Results
DOS(E_F)	24.77	states/eV/f.u.
formation energy from the elements	0.03	eV per atom


Density functional theory data (PBE) for Ac2La15Er2 after structural relaxation.

Cell and atoms, written as POSCAR:
```
Ac2La15Er2
1.0
-7.811 -3.183 3.318
2.516 -1.502 8.577
-3.189 7.564 3.844
La Ac Er
15 2 2
Direct
0.000 0.500 0.000
0.000 0.000 0.500
0.000 0.708 0.292
0.635 0.151 0.635
0.365 0.849 0.365
0.500 0.000 0.000
0.849 0.365 0.365
0.292 0.708 0.000
0.708 0.292 0.000
0.365 0.365 0.849
0.635 0.635 0.151
0.708 0.000 0.292
0.151 0.635 0.635
0.000 0.292 0.708
0.292 0.000 0.708
0.327 0.327 0.327
0.673 0.673 0.673
0.094 0.094 0.094
0.906 0.906 0.906
```

Results
DOS(E_F)	34.40	states/eV/f.u.
formation energy from the elements	0.17	eV per atom


Density functional theory data (PBE) for Ac4La5Er2 after structural relaxation.

Cell and atoms, written as POSCAR:
```
Ac4La5Er2
1.0
-3.152 1.565 0.986
-6.323 -10.313 -3.838
2.726 -3.943 8.199
Ac La Er
4 5 2
Direct
0.282 0.635 0.563
0.718 0.365 0.437
0.959 0.732 0.919
0.041 0.268 0.081
0.500 0.000 0.000
0.139 0.820 0.279
0.861 0.180 0.721
0.190 0.090 0.380
0.810 0.910 0.620
0.092 0.540 0.184
0.908 0.460 0.816
```

Results
DOS(E_F)	19.44	states/eV/f.u.
formation energy from the elements	0.18	eV per atom


Density functional theory data (PBE) for Ac6La8Er after structural relaxation.

Cell and atoms, written as POSCAR:
```
Ac6La8Er
1.0
8.334 0.154 4.065
2.604 7.918 4.065
0.208 0.154 9.270
La Ac Er
8 6 1
Direct
0.426 0.426 0.426
0.235 0.889 0.296
0.765 0.111 0.704
0.704 0.765 0.111
0.574 0.574 0.574
0.889 0.296 0.235
0.296 0.235 0.889
0.111 0.704 0.765
0.089 0.544 0.244
0.244 0.089 0.544
0.544 0.244 0.089
0.456 0.756 0.911
0.756 0.911 0.456
0.911 0.456 0.756
0.000 0.000 0.000
```

Results
DOS(E_F)	25.86	states/eV/f.u.
formation energy from the elements	0.09	eV per atom


Density functional theory data (PBE) for Ac3La2Er2 after structural relaxation.

Cell and atoms, written as POSCAR:
```
Ac3La2Er2
1.0
5.638 0.000 0.748
0.000 3.747 0.000
1.155 0.000 12.916
La Ac Er
2 3 2
Direct
0.574 0.500 0.852
0.426 0.500 0.148
0.000 0.000 0.000
0.156 0.000 0.689
0.844 0.000 0.311
0.285 0.500 0.431
0.715 0.500 0.569
```

Results
DOS(E_F)	11.63	states/eV/f.u.
formation energy from the elements	0.04	eV per atom


Density functional theory data (PBE) for AcLa3Er7 after structural relaxation.

Cell and atoms, written as POSCAR:
```
AcLa3Er7
1.0
-4.086 -4.562 2.294
6.392 -0.747 -7.406
9.555 1.114 1.931
Er La Ac
7 3 1
Direct
0.230 0.574 0.915
0.727 0.764 0.764
0.273 0.236 0.236
0.770 0.426 0.085
0.770 0.085 0.426
0.230 0.915 0.574
0.000 0.500 0.500
0.500 0.000 0.000
0.000 0.181 0.819
0.000 0.819 0.181
0.500 0.500 0.500
```

Results
DOS(E_F)	17.69	states/eV/f.u.
formation energy from the elements	0.22	eV per atom


Which of these has the highest formation energy from the elements?
AcLa3Er7


Please write out number 7 again, unchanged.
Density functional theory data (PBE) for Ac5La6Er after structural relaxation.

Cell and atoms, written as POSCAR:
```
Ac5La6Er
1.0
-3.342 1.768 -3.912
8.699 -2.232 -4.650
-3.925 -8.760 3.185
Ac La Er
5 6 1
Direct
0.500 0.162 0.838
0.500 0.838 0.162
0.000 0.667 0.333
0.000 0.333 0.667
0.500 0.500 0.500
0.753 0.918 0.589
0.247 0.411 0.082
0.254 0.754 0.754
0.746 0.246 0.246
0.753 0.589 0.918
0.247 0.082 0.411
0.000 0.000 0.000
```

Results
DOS(E_F)	24.77	states/eV/f.u.
formation energy from the elements	0.03	eV per atom


Copy entry 9 word for word.
Density functional theory data (PBE) for Ac4La5Er2 after structural relaxation.

Cell and atoms, written as POSCAR:
```
Ac4La5Er2
1.0
-3.152 1.565 0.986
-6.323 -10.313 -3.838
2.726 -3.943 8.199
Ac La Er
4 5 2
Direct
0.282 0.635 0.563
0.718 0.365 0.437
0.959 0.732 0.919
0.041 0.268 0.081
0.500 0.000 0.000
0.139 0.820 0.279
0.861 0.180 0.721
0.190 0.090 0.380
0.810 0.910 0.620
0.092 0.540 0.184
0.908 0.460 0.816
```

Results
DOS(E_F)	19.44	states/eV/f.u.
formation energy from the elements	0.18	eV per atom